(1)
First-principles (PBE) data for a geometry-optimized DyNi4Sn12 structure, as listed in the Alexandria database.

```
DyNi4Sn12
1.0
7.998 0.000 0.000
-2.666 7.540 0.000
-2.666 -3.770 6.530
Dy Ni Sn
1 4 12
Direct
0.000 0.000 0.000 Dy
0.000 0.500 0.000 Ni
0.500 0.000 0.000 Ni
0.500 0.500 0.500 Ni
0.000 0.000 0.500 Ni
0.834 0.334 0.168 Sn
0.334 0.500 0.166 Sn
0.832 0.166 0.666 Sn
0.334 0.168 0.834 Sn
0.168 0.834 0.334 Sn
0.666 0.500 0.834 Sn
0.500 0.166 0.334 Sn
0.500 0.834 0.666 Sn
0.666 0.832 0.166 Sn
0.834 0.666 0.500 Sn
0.166 0.334 0.500 Sn
0.166 0.666 0.832 Sn
```

## Properties
* ρ: 7.68 g cm⁻³
* M_tot: 0.00 μB/cell
* formation enthalpy at 0 K: -3.2 eV/f.u.
* symmetry: No. 204

---

(2)
First-principles (PBE) data for a geometry-optimized DyZnNi4Sn2 structure, as listed in the Alexandria database.

```
DyZnNi4Sn2
1.0
-1.309 -3.683 -1.754
2.616 -3.392 -0.062
-2.492 -4.749 6.598
Dy Zn Ni Sn
1 1 4 2
Direct
0.000 0.000 0.000 Dy
0.500 0.500 0.500 Zn
0.401 0.401 0.798 Ni
0.867 0.867 0.399 Ni
0.133 0.133 0.601 Ni
0.599 0.599 0.202 Ni
0.756 0.756 0.733 Sn
0.244 0.244 0.267 Sn
```

## Properties
* ρ: 8.99 g cm⁻³
* M_tot: 0.00 μB/cell
* formation enthalpy at 0 K: -2.6 eV/f.u.
* symmetry: No. 166